# 1
The following is a PBE-GGA calculation of crystalline Ce2Th2Bi5 at its relaxed geometry, from Alexandria via LeMat-Bulk.

## Properties
E_tot = -5.77 eV per atom
volume = 596 Å³/cell
space group = No. 64

Lattice parameters (Å, degrees): 8.608 9.148 9.148 124.17 90.00 90.00
Each line ends with the local moment (μB).
Fractional positions:
1 Bi 0.347 0.985 0.705  -0.03
2 Th 0.347 0.152 0.152  -0.01
3 Th 0.653 0.848 0.848  -0.01
4 Ce 0.000 0.194 0.806  0.69
5 Bi 0.000 0.000 0.000  -0.03
6 Bi 0.653 0.015 0.295  -0.03
7 Bi 0.653 0.295 0.015  -0.03
8 Bi 0.847 0.795 0.515  -0.03
9 Th 0.153 0.652 0.652  -0.01
10 Bi 0.500 0.500 0.500  -0.03
11 Bi 0.153 0.205 0.485  -0.03
12 Ce 0.500 0.694 0.306  0.69
13 Th 0.847 0.348 0.348  -0.01
14 Ce 0.000 0.806 0.194  0.69
15 Bi 0.347 0.705 0.985  -0.03
16 Bi 0.847 0.515 0.795  -0.03
17 Bi 0.153 0.485 0.205  -0.03
18 Ce 0.500 0.306 0.694  0.69

# 2
The following is a PBE-GGA calculation of crystalline CaSnHgAu at its relaxed geometry, from Alexandria via LeMat-Bulk.

## Properties
E_tot = -2.86 eV per atom
volume = 95 Å³/cell
space group = No. 216

Lattice parameters (Å, degrees): 5.119 5.119 5.119 60.00 60.00 60.00
Fractional positions:
1 Ca 0.750 0.750 0.750
2 Hg 0.000 0.000 0.000
3 Sn 0.250 0.250 0.250
4 Au 0.500 0.500 0.500